No. 1
Entry from Alexandria via LeMat-Bulk: a relaxed structure of AlTcPPb2 (PBE).

a b c (Å): 5.3601 5.3601 4.8130
angles (deg): 90.00 90.00 90.00
Last column: nearest neighbours and their distance in Å.
Element x y z (fractional)
Al1 0.0000 0.0000 0.0000  2 Tc 2.41
Tc1 0.0000 0.0000 0.5000  2 Al 2.41, 4 Pb 2.68
P1 0.5000 0.5000 0.0000  8 Pb 3.60, 4 Al 3.79
Pb1 0.0000 0.5000 0.5000  2 Tc 2.68
Pb2 0.5000 0.0000 0.5000  2 Tc 2.68

For the density of states at the Fermi level, the calculation gives 4.569 states/eV per cell. Its total moment is 2.1 μB/f.u. The formation energy is 689 meV per atom. The total energy comes out at -4.698 eV per atom.

---

No. 2
Entry from Alexandria via LeMat-Bulk: a relaxed structure of AlVP2Pb (PBE).

a b c (Å): 4.5171 4.5171 5.4425
angles (deg): 90.00 90.00 90.00
Last column: nearest neighbours and their distance in Å.
Element x y z (fractional)
Al1 0.0000 0.0000 0.0000  4 P 2.26
V1 0.5000 0.5000 0.5000  4 Pb 3.19, 8 P 3.54
P1 0.0000 0.5000 0.0000  2 Al 2.26
P2 0.5000 0.0000 0.0000  2 Al 2.26
Pb1 0.0000 0.0000 0.5000  2 Al 2.72

For the density of states at the Fermi level, the calculation gives 8.695 states/eV per cell. Its total moment is 0.0 μB/f.u. The formation energy is 1138 meV per atom. The total energy comes out at -4.339 eV per atom.

---

No. 3
Entry from Alexandria via LeMat-Bulk: a relaxed structure of AlPPbW2 (PBE).

a b c (Å): 4.7058 4.7058 5.0831
angles (deg): 90.00 90.00 90.00
Last column: nearest neighbours and their distance in Å.
Element x y z (fractional)
Al1 0.0000 0.0000 0.0000  4 W 2.35, 2 Pb 2.54
P1 0.5000 0.5000 0.5000  4 Pb 3.33, 8 W 3.46
Pb1 0.0000 0.0000 0.5000  2 Al 2.54
W1 0.0000 0.5000 0.0000  2 Al 2.35
W2 0.5000 0.0000 0.0000  2 Al 2.35

For the density of states at the Fermi level, the calculation gives 4.974 states/eV per cell. Its total moment is 0.5 μB/f.u. The formation energy is 2079 meV per atom. The total energy comes out at -5.675 eV per atom.